10
Lattice="-4.366 4.193 4.347 4.366 -4.193 4.347 4.366 4.193 -4.347" Properties=species:S:1:pos:R:3 comment="PBE Pm3SmRh, relaxed" delta_e_f_ev_per_atom=-0.306 mass_density_g_cm3=7.18 pbc="T T T"
Pm 0.447 1.754 0.000
Pm 3.919 1.754 0.000
Pm 2.183 -0.345 2.619
Pm 2.183 4.538 -1.728
Pm 0.447 2.439 4.347
Pm 3.919 2.439 4.347
Sm 2.183 -0.349 6.082
Sm 2.183 4.542 1.735
Rh 6.550 1.067 -0.001
Rh -2.183 3.126 4.346


16
Lattice="7.288 0.000 0.000 0.000 9.807 0.000 0.000 0.000 6.433" Properties=species:S:1:pos:R:3 comment="PBE PmSm2Rh, relaxed" delta_e_f_ev_per_atom=-0.454 mass_density_g_cm3=7.92 pbc="T T T"
Pm 0.259 2.452 0.920
Pm 3.385 7.355 4.137
Pm 3.903 2.452 2.296
Pm 7.029 7.355 5.513
Sm 1.286 0.640 4.305
Sm 1.286 4.264 4.305
Sm 2.358 5.543 1.088
Sm 2.358 9.167 1.088
Sm 4.930 0.640 5.345
Sm 4.930 4.264 5.345
Sm 6.003 5.543 2.128
Sm 6.003 9.167 2.128
Rh 0.874 7.355 2.787
Rh 2.770 2.452 6.004
Rh 4.518 7.355 0.429
Rh 6.414 2.452 3.646


20
Lattice="7.177 4.144 3.306 -7.177 4.144 3.306 0.000 -8.287 3.306" Properties=species:S:1:pos:R:3 comment="PBE PmSm12Rh7, relaxed" delta_e_f_ev_per_atom=-0.490 mass_density_g_cm3=7.51 pbc="T T T"
Pm 0.000 0.000 0.000
Sm -1.083 -4.511 3.293
Sm -2.190 -0.604 3.315
Sm -3.365 3.193 3.293
Sm -4.448 -1.318 6.625
Sm 1.618 -1.594 3.315
Sm 0.572 2.199 3.315
Sm -0.572 -2.199 6.603
Sm -1.618 1.594 6.603
Sm 4.448 1.318 3.293
Sm 3.365 -3.193 6.625
Sm 2.190 0.604 6.603
Sm 1.083 4.511 6.625
Rh -0.598 -2.304 1.727
Rh -1.696 1.670 1.727
Rh 2.294 0.634 1.727
Rh 0.000 0.000 4.959
Rh -2.294 -0.634 8.191
Rh 1.696 -1.670 8.191
Rh 0.598 2.304 8.191


28
Lattice="12.030 0.000 0.000 0.000 4.179 0.000 0.000 0.000 13.849" Properties=species:S:1:pos:R:3 comment="PBE Pm3SmRh3, relaxed" delta_e_f_ev_per_atom=-0.647 mass_density_g_cm3=8.53 pbc="T T T"
Pm 0.547 1.045 1.363
Pm 2.250 3.134 7.220
Pm 2.972 1.045 4.215
Pm 3.043 3.134 11.140
Pm 3.765 1.045 0.295
Pm 5.468 3.134 8.288
Pm 6.561 1.045 5.562
Pm 8.264 3.134 13.554
Pm 8.987 1.045 2.709
Pm 9.058 3.134 9.634
Pm 9.780 1.045 6.629
Pm 11.483 3.134 12.486
Sm 0.262 1.045 9.501
Sm 5.753 3.134 2.577
Sm 6.277 1.045 11.273
Sm 11.768 3.134 4.348
Rh 0.638 1.045 6.053
Rh 1.376 1.045 12.287
Rh 2.635 3.134 2.219
Rh 3.380 1.045 9.144
Rh 4.638 3.134 5.363
Rh 5.377 3.134 12.978
Rh 6.652 1.045 0.871
Rh 7.391 1.045 8.487
Rh 8.649 3.134 4.706
Rh 9.395 1.045 11.630
Rh 10.653 3.134 1.562
Rh 11.392 3.134 7.796


14
Lattice="7.967 0.000 0.000 0.000 6.580 0.000 -3.170 0.000 7.355" Properties=species:S:1:pos:R:3 comment="PBE PmSm4Rh2, relaxed" delta_e_f_ev_per_atom=-0.394 mass_density_g_cm3=8.20 pbc="T T T"
Pm 1.142 1.645 0.203
Pm 3.655 4.935 7.152
Sm -1.085 1.645 2.807
Sm 0.925 4.935 2.488
Sm 0.850 0.029 5.611
Sm 0.850 3.261 5.611
Sm 3.947 3.318 1.744
Sm 3.947 6.551 1.744
Sm 3.872 1.645 4.868
Sm 5.882 4.935 4.549
Rh -1.158 4.935 7.290
Rh 1.662 1.645 2.994
Rh 3.135 4.935 4.361
Rh 5.955 1.645 0.065


12
Lattice="7.063 0.000 0.000 0.000 6.605 0.000 -0.014 0.000 7.801" Properties=species:S:1:pos:R:3 comment="PBE PmSmRh, relaxed" delta_e_f_ev_per_atom=-0.495 mass_density_g_cm3=7.27 pbc="T T T"
Pm 0.549 1.600 0.879
Pm 0.542 1.703 4.780
Pm 6.506 4.902 3.022
Pm 6.499 5.005 6.922
Sm 2.979 4.895 4.791
Sm 2.986 5.013 0.890
Sm 4.062 1.592 6.912
Sm 4.069 1.710 3.011
Rh 1.768 3.312 2.776
Rh 1.760 6.596 6.677
Rh 5.288 0.009 1.124
Rh 5.281 3.293 5.025


10
Lattice="3.543 0.000 0.000 0.000 3.543 0.000 0.000 0.000 17.128" Properties=species:S:1:pos:R:3 comment="PBE PmSm4Rh5, relaxed" delta_e_f_ev_per_atom=-0.705 mass_density_g_cm3=9.74 pbc="T T T"
Pm 0.000 0.000 0.000
Sm 0.000 0.000 3.436
Sm 0.000 0.000 6.855
Sm 0.000 0.000 10.272
Sm 0.000 0.000 13.691
Rh 1.772 1.772 1.732
Rh 1.772 1.772 5.147
Rh 1.772 1.772 8.564
Rh 1.772 1.772 11.981
Rh 1.772 1.772 15.396


6
Lattice="5.788 -2.121 0.000 5.788 2.121 0.000 -1.560 0.000 7.173" Properties=species:S:1:pos:R:3 comment="PBE PmSmRh, relaxed" delta_e_f_ev_per_atom=-0.509 mass_density_g_cm3=7.51 pbc="T T T"
Pm 0.861 0.000 2.675
Pm 9.154 0.000 4.497
Sm 4.140 0.000 0.888
Sm 5.875 0.000 6.284
Rh 1.710 0.000 5.380
Rh 8.305 0.000 1.792


14
Lattice="-4.392 4.392 4.392 4.392 -4.392 4.392 4.392 4.392 -4.392" Properties=species:S:1:pos:R:3 comment="PBE Pm2Sm2Rh3, relaxed" delta_e_f_ev_per_atom=-0.665 mass_density_g_cm3=8.81 pbc="T T T"
Pm 3.856 0.536 -0.536
Pm 0.536 0.536 0.536
Pm 0.536 -0.536 3.856
Pm -0.536 3.856 0.536
Sm 6.065 -1.673 1.673
Sm 1.673 6.065 -1.673
Sm 2.719 2.719 2.719
Sm -1.673 1.673 6.065
Rh 6.588 1.041 0.000
Rh 3.351 0.000 2.196
Rh 2.196 3.351 0.000
Rh 0.000 2.196 3.351
Rh 1.041 0.000 6.588
Rh 0.000 6.588 1.041


10
Lattice="9.209 -2.144 0.000 9.209 2.144 0.000 -3.053 0.000 6.862" Properties=species:S:1:pos:R:3 comment="PBE PmSm5Rh4, relaxed" delta_e_f_ev_per_atom=-0.578 mass_density_g_cm3=8.02 pbc="T T T"
Pm 0.000 0.000 0.000
Sm -1.526 0.000 3.431
Sm 5.932 0.000 0.547
Sm 4.371 0.000 4.055
Sm 10.995 0.000 2.806
Sm 9.433 0.000 6.315
Rh 3.049 0.000 1.361
Rh 8.419 0.000 1.779
Rh 6.947 0.000 5.083
Rh 12.317 0.000 5.501


9
Lattice="4.660 -8.819 0.000 4.660 8.819 0.000 0.000 0.000 3.675" Properties=species:S:1:pos:R:3 comment="PBE Pm2Sm6Rh, relaxed" delta_e_f_ev_per_atom=0.019 mass_density_g_cm3=7.12 pbc="T T T"
Pm 4.660 5.803 0.000
Pm 4.660 -5.803 0.000
Sm 3.103 2.947 1.837
Sm 2.604 0.000 0.000
Sm 3.103 -2.947 1.837
Sm 6.217 2.947 1.837
Sm 6.715 0.000 0.000
Sm 6.217 -2.947 1.837
Rh 4.660 0.000 1.837


3
Lattice="4.566 0.000 0.000 -2.283 3.955 0.000 0.000 0.000 4.367" Properties=species:S:1:pos:R:3 comment="PBE PmSmRh, relaxed" delta_e_f_ev_per_atom=-0.366 mass_density_g_cm3=8.39 pbc="T T T"
Pm 0.000 0.000 0.000
Sm 2.283 1.318 2.345
Rh 0.000 2.636 1.201


15
Lattice="4.227 2.441 6.193 -4.227 2.441 6.193 0.000 -4.881 6.193" Properties=species:S:1:pos:R:3 comment="PBE Pm8SmRh6, relaxed" delta_e_f_ev_per_atom=-0.592 mass_density_g_cm3=8.35 pbc="T T T"
Pm -2.807 0.009 7.213
Pm 0.000 0.000 3.110
Pm -1.412 -2.427 11.366
Pm 1.396 -2.436 7.213
Pm -1.396 2.436 11.366
Pm 1.412 2.427 7.213
Pm 0.000 0.000 15.469
Pm 2.807 -0.009 11.366
Sm 0.000 0.000 9.289
Rh -1.408 -2.437 8.247
Rh -2.815 0.001 10.332
Rh -1.407 2.438 8.247
Rh 1.407 -2.438 10.332
Rh 2.815 -0.001 8.247
Rh 1.408 2.437 10.332


8
Lattice="3.436 0.000 0.000 0.000 5.022 0.000 0.000 0.000 10.047" Properties=species:S:1:pos:R:3 comment="PBE Pm3SmRh4, relaxed" delta_e_f_ev_per_atom=-0.692 mass_density_g_cm3=9.55 pbc="T T T"
Pm 0.000 0.000 0.000
Pm 0.000 2.511 2.518
Pm 0.000 2.511 7.529
Sm 0.000 0.000 5.023
Rh 1.718 0.000 2.527
Rh 1.718 0.000 7.519
Rh 1.718 2.511 0.000
Rh 1.718 2.511 5.023


4
Lattice="3.575 0.000 0.000 0.000 3.575 0.000 0.000 0.000 8.803" Properties=species:S:1:pos:R:3 comment="PBE PmSm2Rh, relaxed" delta_e_f_ev_per_atom=-0.328 mass_density_g_cm3=8.10 pbc="T T T"
Pm 0.000 0.000 0.000
Sm 1.787 1.787 2.742
Sm 1.787 1.787 6.061
Rh 0.000 0.000 4.402


10
Lattice="7.740 0.000 0.000 0.000 6.621 0.000 0.000 0.000 6.309" Properties=species:S:1:pos:R:3 comment="PBE PmSm3Rh, relaxed" delta_e_f_ev_per_atom=-0.246 mass_density_g_cm3=7.18 pbc="T T T"
Pm 0.000 1.000 0.000
Pm 3.870 5.621 3.154
Sm 0.000 5.610 3.052
Sm 1.932 2.095 3.105
Sm 1.939 4.526 6.259
Sm 3.870 1.011 6.207
Sm 5.809 2.095 3.105
Sm 5.802 4.526 6.259
Rh 0.000 3.317 4.681
Rh 3.870 3.304 1.526


12
Lattice="-3.016 3.799 8.206 3.016 -3.799 8.206 3.016 3.799 -8.206" Properties=species:S:1:pos:R:3 comment="PBE Pm4SmRh, relaxed" delta_e_f_ev_per_atom=-0.199 mass_density_g_cm3=7.36 pbc="T T T"
Pm 3.016 1.915 -1.919
Pm 0.000 0.000 2.817
Pm 0.000 2.239 0.000
Pm 3.016 1.915 1.919
Pm 0.000 1.884 6.288
Pm 0.000 5.358 0.000
Pm 0.000 0.000 13.596
Pm 0.000 1.884 10.125
Sm 3.016 0.000 4.952
Sm 0.000 3.799 3.255
Rh 1.620 0.000 0.000
Rh 4.412 0.000 0.000


11
Lattice="-1.920 4.502 8.131 1.920 -4.502 8.131 1.920 4.502 -8.131" Properties=species:S:1:pos:R:3 comment="PBE Pm4Sm3Rh4, relaxed" delta_e_f_ev_per_atom=-0.511 mass_density_g_cm3=8.52 pbc="T T T"
Pm 1.920 -2.817 5.452
Pm 0.000 1.685 2.679
Pm 1.920 2.817 5.452
Pm 0.000 7.319 2.679
Sm 1.920 0.000 0.000
Sm 0.000 0.000 6.498
Sm 0.000 0.000 9.765
Rh 1.920 0.000 4.119
Rh 0.000 2.560 0.000
Rh 0.000 6.445 0.000
Rh 0.000 4.502 4.012


12
Lattice="8.304 -2.122 0.000 8.304 2.122 0.000 -5.798 0.000 9.939" Properties=species:S:1:pos:R:3 comment="PBE PmSm3Rh2, relaxed" delta_e_f_ev_per_atom=-0.513 mass_density_g_cm3=7.61 pbc="T T T"
Pm -0.048 0.000 1.872
Pm 10.858 0.000 8.066
Sm -0.141 0.000 5.603
Sm -0.245 0.000 9.329
Sm 5.439 0.000 3.109
Sm 5.371 0.000 6.829
Sm 11.054 0.000 0.609
Sm 10.950 0.000 4.336
Rh -2.986 0.000 8.687
Rh 2.621 0.000 6.191
Rh 8.188 0.000 3.748
Rh 13.795 0.000 1.251


14
Lattice="4.654 -5.243 0.000 4.654 5.243 0.000 -0.090 0.000 7.102" Properties=species:S:1:pos:R:3 comment="PBE PmSm3Rh3, relaxed" delta_e_f_ev_per_atom=-0.592 mass_density_g_cm3=8.67 pbc="T T T"
Pm 2.269 0.000 2.674
Pm 6.948 0.000 4.428
Sm 1.527 0.000 6.226
Sm 4.609 2.577 3.551
Sm 4.654 1.902 0.000
Sm 4.654 -1.902 0.000
Sm 4.609 -2.577 3.551
Sm 7.691 0.000 0.876
Rh 2.274 2.613 5.474
Rh 4.034 0.000 4.962
Rh 6.943 2.613 1.627
Rh 2.274 -2.613 5.474
Rh 5.183 0.000 2.139
Rh 6.943 -2.613 1.627